# LiCdHIr2 | the Alexandria database | GGA-PBE | relaxed
data_LiCdHIr2
_symmetry_space_group_name_H-M 'P 1'
_symmetry_Int_Tables_number 1
_cell_length_a 4.636
_cell_length_b 4.636
_cell_length_c 3.084
_cell_angle_alpha 90.00
_cell_angle_beta 90.00
_cell_angle_gamma 90.00
loop_
_symmetry_equiv_pos_as_xyz
'x,y,z'
loop_
_atom_site_label
_atom_site_type_symbol
_atom_site_fract_x
_atom_site_fract_y
_atom_site_fract_z
Li1 Li 0.000 0.000 0.000
Cd1 Cd 0.500 0.500 0.500
H1 H 0.000 0.000 0.500
Ir1 Ir 0.000 0.500 0.000
Ir2 Ir 0.500 0.000 0.000
# Space-group type   No. 123
# Offset from the most stable computed form   21.04 kcal/mol of atoms

# Sm5MgAg | the Alexandria database | GGA-PBE | relaxed
data_Sm5MgAg
_symmetry_space_group_name_H-M 'P 1'
_symmetry_Int_Tables_number 1
_cell_length_a 5.997
_cell_length_b 5.997
_cell_length_c 12.233
_cell_angle_alpha 100.04
_cell_angle_beta 100.04
_cell_angle_gamma 88.01
loop_
_symmetry_equiv_pos_as_xyz
'x,y,z'
loop_
_atom_site_label
_atom_site_type_symbol
_atom_site_fract_x
_atom_site_fract_y
_atom_site_fract_z
Sm1 Sm 0.011 0.989 0.750
Sm2 Sm 0.091 0.452 0.634
Sm3 Sm 0.222 0.499 0.935
Sm4 Sm 0.452 0.091 0.134
Sm5 Sm 0.499 0.222 0.435
Sm6 Sm 0.501 0.778 0.565
Sm7 Sm 0.548 0.909 0.866
Sm8 Sm 0.778 0.501 0.065
Sm9 Sm 0.909 0.548 0.366
Sm10 Sm 0.989 0.011 0.250
Mg1 Mg 0.378 0.622 0.250
Mg2 Mg 0.622 0.378 0.750
Ag1 Ag 0.000 0.000 0.000
Ag2 Ag 0.000 0.000 0.500
# Formation energy   49 meV/atom
# Space-group type   No. 15

# K2IrRh | the Alexandria database | GGA-PBE | relaxed
data_K2IrRh
_symmetry_space_group_name_H-M 'P 1'
_symmetry_Int_Tables_number 1
_cell_length_a 2.745
_cell_length_b 5.367
_cell_length_c 5.674
_cell_angle_alpha 90.00
_cell_angle_beta 90.04
_cell_angle_gamma 90.00
loop_
_symmetry_equiv_pos_as_xyz
'x,y,z'
loop_
_atom_site_label
_atom_site_type_symbol
_atom_site_fract_x
_atom_site_fract_y
_atom_site_fract_z
K1 K 0.003 0.000 0.250
K2 K 0.997 0.000 0.750
Ir1 Ir 0.500 0.500 0.000
Rh1 Rh 0.500 0.500 0.500
# Formation energy   864 meV/atom
# Space-group type   No. 10
# Offset from the most stable computed form   11.20 kcal/mol of atoms

# BaGaHg2 | the Alexandria database | GGA-PBE | relaxed
data_BaGaHg2
_symmetry_space_group_name_H-M 'P 1'
_symmetry_Int_Tables_number 1
_cell_length_a 10.077
_cell_length_b 10.077
_cell_length_c 10.077
_cell_angle_alpha 148.57
_cell_angle_beta 148.57
_cell_angle_gamma 45.04
loop_
_symmetry_equiv_pos_as_xyz
'x,y,z'
loop_
_atom_site_label
_atom_site_type_symbol
_atom_site_fract_x
_atom_site_fract_y
_atom_site_fract_z
Ba1 Ba 0.000 0.000 0.000
Ba2 Ba 0.750 0.250 0.500
Ga1 Ga 0.250 0.750 0.500
Ga2 Ga 0.500 0.500 0.000
Hg1 Hg 0.271 0.625 0.146
Hg2 Hg 0.375 0.521 0.646
Hg3 Hg 0.479 0.125 0.854
Hg4 Hg 0.875 0.729 0.354
# Formation energy   -229 meV/atom
# Space-group type   No. 122

# CsCdRe3 | the Alexandria database | GGA-PBE | relaxed
data_CsCdRe3
_symmetry_space_group_name_H-M 'P 1'
_symmetry_Int_Tables_number 1
_cell_length_a 4.954
_cell_length_b 4.954
_cell_length_c 4.954
_cell_angle_alpha 90.00
_cell_angle_beta 90.00
_cell_angle_gamma 90.00
loop_
_symmetry_equiv_pos_as_xyz
'x,y,z'
loop_
_atom_site_label
_atom_site_type_symbol
_atom_site_fract_x
_atom_site_fract_y
_atom_site_fract_z
Cs1 Cs 0.000 0.000 0.000
Cd1 Cd 0.500 0.500 0.500
Re1 Re 0.000 0.000 0.500
Re2 Re 0.000 0.500 0.000
Re3 Re 0.500 0.000 0.000
# Formation energy   3918 meV/atom
# Space-group type   No. 221

# LaAl2Pt2 | the Alexandria database | GGA-PBE | relaxed
data_LaAl2Pt2
_symmetry_space_group_name_H-M 'P 1'
_symmetry_Int_Tables_number 1
_cell_length_a 6.069
_cell_length_b 6.069
_cell_length_c 6.069
_cell_angle_alpha 137.83
_cell_angle_beta 137.83
_cell_angle_gamma 61.17
loop_
_symmetry_equiv_pos_as_xyz
'x,y,z'
loop_
_atom_site_label
_atom_site_type_symbol
_atom_site_fract_x
_atom_site_fract_y
_atom_site_fract_z
La1 La 0.000 0.000 0.000
Al1 Al 0.370 0.370 0.000
Al2 Al 0.630 0.630 0.000
Pt1 Pt 0.250 0.750 0.500
Pt2 Pt 0.750 0.250 0.500
# Formation energy   -1021 meV/atom
# Space-group type   No. 139

Calculated total energy (eV/atom), listed in the same order as above: -3.880; -3.957; -3.738; -1.618; -3.905; -5.920
Calculated DOS at the Fermi energy (states/eV/f.u.), listed in the same order as above: 5.0; 9.3; 4.6; 3.8; 6.3; 3.6